Computed, not measured: crystalline ScV2HgI at its relaxed geometry at the GGA-PBE level of DFT.

The value obtained for the relative energy among the computed polymorphs is 402 meV/atom. The uncorrected formation energy is 1.3805 eV/atom.

abc: 5.099 5.099 6.213
angles: 90.00 90.00 90.00
Space group P4/mmm (No. 123)
Unique sites:
Sc1 0.000 0.000 0.000 x1
V1 0.000 0.500 0.500 x2
Hg1 0.500 0.500 0.500 x1
I1 0.500 0.500 0.000 x1

---

Computed, not measured: crystalline Hg2SeI2 at its relaxed geometry at the GGA-PBE level of DFT.

The value obtained for the relative energy among the computed polymorphs is 0 meV/atom. The uncorrected formation energy is -0.2052 eV/atom.

abc: 13.658 8.053 9.221
angles: 90.00 118.01 90.00
Space group C2/m (No. 12)
Unique sites:
Hg1 0.011 0.000 0.262 x4
Hg2 0.175 0.500 0.569 x4
Se1 0.153 0.000 0.164 x4
I1 0.005 0.500 0.265 x4
I2 0.171 0.000 0.698 x4

---

Computed, not measured: crystalline Hg2SeI at its relaxed geometry at the GGA-PBE level of DFT.

The value obtained for the relative energy among the computed polymorphs is 77 meV/atom. The uncorrected formation energy is -0.1308 eV/atom.

abc: 6.741 6.921 7.432
angles: 74.02 66.88 62.57
Space group P1 (No. 1)
Unique sites:
Hg1 0.000 0.000 0.000 x1
Hg2 0.030 0.860 0.507 x1
Hg3 0.429 0.838 0.043 x1
Hg4 0.872 0.557 0.536 x1
Se1 0.577 0.208 0.960 x1
Se2 0.655 0.298 0.614 x1
I1 0.352 0.029 0.497 x1
I2 0.882 0.531 0.072 x1

---

Computed, not measured: crystalline HgSe2I at its relaxed geometry at the GGA-PBE level of DFT.

The value obtained for the relative energy among the computed polymorphs is 116 meV/atom. The uncorrected formation energy is -0.0218 eV/atom.

abc: 6.124 7.842 8.170
angles: 102.46 108.33 101.07
Space group P1 (No. 1)
Unique sites:
Hg1 0.000 0.000 0.000 x1
Hg2 0.484 0.869 0.472 x1
Se1 0.639 0.584 0.052 x1
Se2 0.683 0.281 0.354 x1
Se3 0.785 0.904 0.196 x1
Se4 0.911 0.457 0.240 x1
I1 0.222 0.095 0.789 x1
I2 0.713 0.461 0.679 x1

---

Computed, not measured: crystalline HgSeI3 at its relaxed geometry at the GGA-PBE level of DFT.

The value obtained for the relative energy among the computed polymorphs is 221 meV/atom. The uncorrected formation energy is 0.1133 eV/atom.

abc: 5.780 5.780 5.780
angles: 90.00 90.00 90.00
Space group Pm-3m (No. 221)
Unique sites:
Hg1 0.000 0.000 0.000 x1
Se1 0.500 0.500 0.500 x1
I1 0.000 0.500 0.500 x3

---

Computed, not measured: crystalline HgSeI at its relaxed geometry at the GGA-PBE level of DFT.

The value obtained for the relative energy among the computed polymorphs is 0 meV/atom. The uncorrected formation energy is -0.1851 eV/atom.

abc: 11.914 7.498 5.181
angles: 90.00 101.13 90.00
Space group C2/m (No. 12)
Unique sites:
Hg1 0.000 0.239 0.000 x4
Se1 0.081 0.000 0.392 x4
I1 0.156 0.500 0.851 x4

---

Computed, not measured: crystalline HgSe2I at its relaxed geometry at the GGA-PBE level of DFT.

The value obtained for the relative energy among the computed polymorphs is 73 meV/atom. The uncorrected formation energy is -0.0649 eV/atom.

abc: 4.402 6.712 9.938
angles: 76.52 89.12 80.24
Space group P1 (No. 1)
Unique sites:
Hg1 0.000 0.000 0.000 x1
Hg2 0.496 0.310 0.278 x1
Se1 0.410 0.149 0.834 x1
Se2 0.646 0.909 0.215 x1
Se3 0.927 0.720 0.421 x1
Se4 0.971 0.356 0.430 x1
I1 0.252 0.508 0.007 x1
I2 0.551 0.896 0.668 x1

---

Computed, not measured: crystalline Hg12Se3I5 at its relaxed geometry at the GGA-PBE level of DFT.

The uncorrected formation energy is 0.0386 eV/atom.

abc: 18.096 18.096 18.096
angles: 90.00 90.00 90.00
Space group Ia-3d (No. 230)
Unique sites:
Hg1 0.018 0.098 0.649 x96
Se1 0.000 0.250 0.125 x24
I1 0.000 0.000 0.000 x16
I2 0.000 0.250 0.375 x24

---

Computed, not measured: crystalline Hg3Se2I2 at its relaxed geometry at the GGA-PBE level of DFT.

The value obtained for the relative energy among the computed polymorphs is 3 meV/atom. The uncorrected formation energy is -0.2556 eV/atom.

abc: 19.990 9.821 11.283
angles: 90.00 116.52 90.00
Space group C2/m (No. 12)
Unique sites:
Hg1 0.077 0.247 0.307 x8
Hg2 0.087 0.000 0.742 x4
Hg3 0.120 0.264 0.003 x8
Hg4 0.224 0.000 0.274 x4
Se1 0.065 0.258 0.749 x8
Se2 0.191 0.258 0.256 x8
I1 0.000 0.000 0.000 x2
I2 0.000 0.500 0.000 x2
I3 0.119 0.500 0.503 x4
I4 0.129 0.000 0.505 x4
I5 0.250 0.000 0.003 x4

---

Computed, not measured: crystalline HgSeI3 at its relaxed geometry at the GGA-PBE level of DFT.

The value obtained for the relative energy among the computed polymorphs is 563 meV/atom. The uncorrected formation energy is 0.4552 eV/atom.

abc: 5.940 5.940 5.940
angles: 90.00 90.00 90.00
Space group Pm-3m (No. 221)
Unique sites:
Hg1 0.000 0.000 0.000 x1
Se1 0.500 0.500 0.500 x1
I1 0.000 0.000 0.500 x3

---

Computed, not measured: crystalline HgSe2I2 at its relaxed geometry at the GGA-PBE level of DFT.

The value obtained for the relative energy among the computed polymorphs is 0 meV/atom. The uncorrected formation energy is 0.1110 eV/atom.

abc: 8.311 8.311 5.164
angles: 90.00 90.00 90.00
Space group P4/mbm (No. 127)
Unique sites:
Hg1 0.000 0.000 0.000 x2
Se1 0.246 0.254 0.000 x4
I1 0.173 0.673 0.500 x4

---

Calculated size of the total moment (Bohr magnetons per cell), listed in the same order as above: 8.7; 0.0; 0.0; 0.0; 0.0; 0.0; 0.0; 0.0; 0.0; 2.9; 0.0